Crystalline Cs4Cr3InF12 at its relaxed geometry. Source: the Alexandria database, functional GGA+U.

Results
VASP energy: -103.1 eV/cell
DOS at the Fermi energy: 0.11 states/eV/atom
SG: Im-3m

extended XYZ file:
```
20
Lattice="-4.497 4.497 4.497 4.497 -4.497 4.497 4.497 4.497 -4.497" Properties=species:S:1:pos:R:3 pbc="T T T"
Cs 2.248 2.248 -2.248
Cs 2.248 -2.248 2.248
Cs -2.248 2.248 2.248
Cs 2.248 2.248 2.248
Cr 4.497 0.000 0.000
Cr 0.000 4.497 0.000
Cr 0.000 0.000 4.497
In 0.000 0.000 0.000
F 2.555 0.000 0.000
F 6.438 0.000 0.000
F 4.497 2.248 0.000
F 4.497 0.000 2.248
F 0.000 2.555 0.000
F 0.000 0.000 2.555
F 2.248 4.497 0.000
F 2.248 0.000 4.497
F 0.000 6.438 0.000
F 0.000 0.000 6.438
F 0.000 4.497 2.248
F 0.000 2.248 4.497
```